No. 1
Entry from the Alexandria database: crystalline NbTlS2 at its relaxed geometry (PBE).

It has space group Pnma (No. 62), with a = 7.895 Å, b = 3.991 Å, c = 12.786 Å, α = 90.00°, β = 90.00° and γ = 90.00°. The distinct sites, in fractional coordinates, are Nb at (0.032, 0.250, 0.085), Tl at (0.091, 0.750, 0.359), S at (0.145, 0.750, 0.767) and S at (0.193, 0.750, 0.044).

As for the crystal system: orthorhombic. The formation energy without anion corrections is -0.63 eV per atom. The value obtained for the energy is -92.77 eV/cell.

---

No. 2
Entry from the Alexandria database: crystalline NbTlS2 at its relaxed geometry (PBE).

It has space group R3m (No. 160, hexagonal axes), with a = 3.7231 Å, b = 3.7231 Å, c = 26.6968 Å, α = 90.00°, β = 90.00° and γ = 120.00°. The distinct sites, in fractional coordinates, are Nb at (0.0000, 0.0000, 0.0000), Tl at (0.0000, 0.0000, 0.4921), S at (0.0000, 0.0000, 0.0856) and S at (0.0000, 0.0000, 0.6245).

As for the crystal system: trigonal. The formation energy without anion corrections is -0.43 eV per atom. The value obtained for the energy is -67.19 eV/cell.

---

No. 3
Entry from the Alexandria database: crystalline Nb3Tl2S8 at its relaxed geometry (PBE).

It has space group C2/m (No. 12), with a = 15.543 Å, b = 7.061 Å, c = 6.211 Å, α = 90.00°, β = 105.47° and γ = 90.00°. The distinct sites, in fractional coordinates, are Nb at (0.000, 0.000, 0.000), Nb at (0.000, 0.266, 0.500), Tl at (0.246, 0.500, 0.168), S at (0.093, 0.242, 0.888), S at (0.095, 0.000, 0.390) and S at (0.103, 0.500, 0.438).

As for the crystal system: monoclinic. The formation energy without anion corrections is -0.75 eV per atom. The value obtained for the energy is -155.53 eV/cell.

---

No. 4
Entry from the Alexandria database: crystalline Nb3TlS at its relaxed geometry (PBE).

It has space group Pm-3m (No. 221), with a = 5.133 Å, b = 5.133 Å, c = 5.133 Å, α = 90.00°, β = 90.00° and γ = 90.00°. The distinct sites, in fractional coordinates, are Nb at (0.000, 0.000, 0.500), Tl at (0.000, 0.000, 0.000) and S at (0.500, 0.500, 0.500).

As for the crystal system: cubic. Its distance to the lowest polymorph of the same formula is 2093 meV/atom. The formation energy without anion corrections is 2.23 eV per atom. The value obtained for the energy is -25.54 eV/cell.

---

- formation energy without anion corrections of number 2 (NbTlS2)?
  -0.43 eV per atom

---

- Which of these has the highest energy?
  Nb3TlS

---

- What is the formula in the fourth record?
  Nb3TlS